# 1
# HgPd2Au2 (PBE, optimized geometry)
data_HgPd2Au2
_symmetry_space_group_name_H-M 'P 4/m b m'
_symmetry_Int_Tables_number 127
_symmetry_space_group_name_Hall '-P 4 2ab'
_cell_length_a 7.163
_cell_length_b 7.163
_cell_length_c 3.659
_cell_angle_alpha 90.00
_cell_angle_beta 90.00
_cell_angle_gamma 90.00
loop_
_atom_site_label
_atom_site_type_symbol
_atom_site_fract_x
_atom_site_fract_y
_atom_site_fract_z
_atom_site_occupancy
Hg1 Hg 0.000 0.000 0.000 1
Pd1 Pd 0.139 0.361 0.000 1
Au1 Au 0.157 0.657 0.500 1
# Mass density ... 14284 kg/m3
# Total magnetization ... 0.000 μB/cell
# Energy of formation from the pure elements ... 0.00 eV/atom

# 2
# PmHgPdAu (PBE, optimized geometry)
data_PmHgPdAu
_symmetry_space_group_name_H-M 'F -4 3 m'
_symmetry_Int_Tables_number 216
_symmetry_space_group_name_Hall 'F -4 2 3'
_cell_length_a 7.014
_cell_length_b 7.014
_cell_length_c 7.014
_cell_angle_alpha 90.00
_cell_angle_beta 90.00
_cell_angle_gamma 90.00
loop_
_atom_site_label
_atom_site_type_symbol
_atom_site_fract_x
_atom_site_fract_y
_atom_site_fract_z
_atom_site_occupancy
Pm1 Pm 0.000 0.000 0.000 1
Hg1 Hg 0.000 0.000 0.500 1
Pd1 Pd 0.250 0.250 0.750 1
Au1 Au 0.250 0.250 0.250 1
# Mass density ... 12492 kg/m3
# Total magnetization ... 0.000 μB/cell
# Energy of formation from the pure elements ... -0.59 eV/atom

# 3
# Pr2HgPd3Au12 (PBE, optimized geometry)
data_Pr2HgPd3Au12
_symmetry_space_group_name_H-M 'R -3 m'
_symmetry_Int_Tables_number 166
_symmetry_space_group_name_Hall '-R 3 2"'
_cell_length_a 9.5231
_cell_length_b 9.5231
_cell_length_c 13.9423
_cell_angle_alpha 90.00
_cell_angle_beta 90.00
_cell_angle_gamma 120.00
loop_
_atom_site_label
_atom_site_type_symbol
_atom_site_fract_x
_atom_site_fract_y
_atom_site_fract_z
_atom_site_occupancy
Pr1 Pr 0.0000 0.0000 0.2396 1
Hg1 Hg 0.0000 0.0000 0.5000 1
Pd1 Pd 0.0000 0.5000 0.0000 1
Au1 Au 0.0018 0.5009 0.2017 1
Au2 Au 0.0344 0.5172 0.6008 1
# Mass density ... 14400 kg/m3
# Total magnetization ... 0.000 μB/cell
# Energy of formation from the pure elements ... -0.23 eV/atom